An optimized crystal structure of CaMg2H24Cl6O12. Source: the Alexandria database, functional PBE.

Calculated total energy (hartree per atom): -0.17483
Density (kg/m3): 1597

Structure (CIF):
```
data_CaMg2H24Cl6O12
_cell_length_a 10.0745
_cell_length_b 10.0745
_cell_length_c 18.3648
_cell_angle_alpha 90.00
_cell_angle_beta 90.00
_cell_angle_gamma 120.00
_space_group_name_H-M_alt 'R -3'
_space_group_IT_number 148
_space_group_name_Hall '-R 3'
loop_
_atom_site_label
_atom_site_type_symbol
_atom_site_fract_x
_atom_site_fract_y
_atom_site_fract_z
_atom_site_occupancy
Ca1 Ca 0.0000 0.0000 0.0000 1
Mg1 Mg 0.0000 0.0000 0.3222 1
H1 H 0.0104 0.8305 0.2030 1
H2 H 0.0506 0.4495 0.0539 1
H3 H 0.0618 0.5144 0.4090 1
H4 H 0.0883 0.5690 0.2599 1
Cl1 Cl 0.0136 0.7889 0.0901 1
O1 O 0.0030 0.1701 0.3870 1
O2 O 0.0133 0.1815 0.7439 1
```